Run P
The following is a DFT calculation (PBE-GGA) of crystalline CdBiCl at its relaxed geometry.

Summary:
As for the total magnetic moment: 0.0 μB per cell. As for the space-group type: No. 12. For the volume, the calculation gives 35.924 Å³ per atom.

abc: 6.2493 6.2493 10.4878
angles: 121.04 121.04 38.95
Sites, in units of the cell vectors:
Cd (0.0865, 0.0865, 0.4557)
Cd (0.9135, 0.9135, 0.5443)
Bi (0.2041, 0.2041, 0.0601)
Bi (0.7959, 0.7959, 0.9399)
Cl (0.3607, 0.3607, 0.6668)
Cl (0.6393, 0.6393, 0.3332)

***

Run Q
The following is a DFT calculation (PBE-GGA) of crystalline CdBiCl at its relaxed geometry.

Summary:
As for the total magnetic moment: 0.0 μB per cell. As for the space-group type: No. 1. For the volume, the calculation gives 33.995 Å³ per atom.

abc: 4.2785 7.0684 7.9714
angles: 64.03 74.46 72.39
Sites, in units of the cell vectors:
Cd (0.0000, 0.0000, 0.0000)
Cd (0.2271, 0.1901, 0.3520)
Bi (0.0084, 0.6337, 0.3480)
Bi (0.3432, 0.7349, 0.5773)
Cl (0.5621, 0.0884, 0.7865)
Cl (0.7840, 0.3407, 0.0889)

***

Short version: run Q is the most stable of them.

***

Run P
The following is a DFT calculation (PBE-GGA) of crystalline Cd2Bi2Cl at its relaxed geometry.

Summary:
As for the total magnetic moment: 0.0 μB per cell. As for the space-group type: No. 139. For the volume, the calculation gives 28.640 Å³ per atom.

abc: 8.9970 8.9970 8.9970
angles: 153.66 153.66 37.60
Sites, in units of the cell vectors:
Cd (0.2500, 0.7500, 0.5000)
Cd (0.7500, 0.2500, 0.5000)
Bi (0.1117, 0.1117, 0.0000)
Bi (0.8883, 0.8883, 0.0000)
Cl (0.5000, 0.5000, 0.0000)

***

Run Q
The following is a DFT calculation (PBE-GGA) of crystalline Cd2Bi2Cl at its relaxed geometry.

Summary:
As for the total magnetic moment: 0.0 μB per cell. As for the space-group type: No. 127. For the volume, the calculation gives 28.291 Å³ per atom.

abc: 9.0854 9.0854 3.4273
angles: 90.00 90.00 90.00
Sites, in units of the cell vectors:
Cd (0.1630, 0.3370, 0.0000)
Cd (0.3370, 0.8370, 0.0000)
Cd (0.6630, 0.1630, 0.0000)
Cd (0.8370, 0.6630, 0.0000)
Bi (0.1366, 0.6366, 0.5000)
Bi (0.3634, 0.1366, 0.5000)
Bi (0.6366, 0.8634, 0.5000)
Bi (0.8634, 0.3634, 0.5000)
Cl (0.0000, 0.0000, 0.0000)
Cl (0.5000, 0.5000, 0.0000)

***

Short version: run P is the most stable of them.

***

Run P
The following is a DFT calculation (PBE-GGA) of crystalline Cd2BiCl at its relaxed geometry.

Summary:
As for the total magnetic moment: 0.0 μB per cell. As for the space-group type: No. 160. For the volume, the calculation gives 30.222 Å³ per atom.

abc: 7.7462 7.7462 7.7462
angles: 32.73 32.73 32.73
Sites, in units of the cell vectors:
Cd (0.0000, 0.0000, 0.0000)
Cd (0.1802, 0.1802, 0.1802)
Bi (0.5928, 0.5928, 0.5928)
Cl (0.7714, 0.7714, 0.7714)

***

Run Q
The following is a DFT calculation (PBE-GGA) of crystalline Cd2BiCl at its relaxed geometry.

Summary:
As for the total magnetic moment: 0.0 μB per cell. As for the space-group type: No. 122. For the volume, the calculation gives 35.996 Å³ per atom.

abc: 8.3301 8.3301 8.3301
angles: 134.66 134.66 66.06
Sites, in units of the cell vectors:
Cd (0.1222, 0.6250, 0.9972)
Cd (0.3750, 0.3722, 0.4972)
Cd (0.6278, 0.1250, 0.0028)
Cd (0.8750, 0.8778, 0.5028)
Bi (0.0000, 0.0000, 0.0000)
Bi (0.7500, 0.2500, 0.5000)
Cl (0.2500, 0.7500, 0.5000)
Cl (0.5000, 0.5000, 0.0000)

***

Short version: run Q is the most stable of them.